[1]
# AlPbAu2 PBE-GGA relaxed
data_AlPbAu2
_chemical_formula_sum 'Al2 Pb2 Au4'
_cell_length_a 7.494
_cell_length_b 4.307
_cell_length_c 6.040
_cell_angle_alpha 90.00
_cell_angle_beta 114.07
_cell_angle_gamma 90.00
_space_group_name_H-M_alt 'C 1 2/m 1'
_space_group_IT_number 12
_space_group_name_Hall '-C 2y'
loop_
_atom_site_label
_atom_site_fract_x
_atom_site_fract_y
_atom_site_fract_z
Al1 0.000 0.000 0.000
Pb1 0.000 0.500 0.500
Au1 0.218 0.500 0.155
# total magnetization = 0.00 μB/f.u.
# formation energy = -195 meV per atom

=====

[2]
# AlPb3Au8 PBE-GGA relaxed
data_AlPb3Au8
_chemical_formula_sum 'Al2 Pb6 Au16'
_cell_length_a 10.1000
_cell_length_b 10.1000
_cell_length_c 5.7673
_cell_angle_alpha 90.00
_cell_angle_beta 90.00
_cell_angle_gamma 120.00
_space_group_name_H-M_alt 'P 63 m c'
_space_group_IT_number 186
_space_group_name_Hall 'P 6c -2c'
loop_
_atom_site_label
_atom_site_fract_x
_atom_site_fract_y
_atom_site_fract_z
Al1 0.3333 0.6667 0.0000
Pb1 0.1537 0.3073 0.7304
Au1 0.0000 0.0000 0.4728
Au2 0.0168 0.5084 0.9715
Au3 0.2072 0.4144 0.2373
Au4 0.3333 0.6667 0.5635
# total magnetization = 0.00 μB/f.u.
# formation energy = -86 meV per atom

=====

[3]
# AlPbAu2 PBE-GGA relaxed
data_AlPbAu2
_chemical_formula_sum 'Al4 Pb4 Au8'
_cell_length_a 6.957
_cell_length_b 6.957
_cell_length_c 6.957
_cell_angle_alpha 90.00
_cell_angle_beta 90.00
_cell_angle_gamma 90.00
_space_group_name_H-M_alt 'F -4 3 m'
_space_group_IT_number 216
_space_group_name_Hall 'F -4 2 3'
loop_
_atom_site_label
_atom_site_fract_x
_atom_site_fract_y
_atom_site_fract_z
Al1 0.000 0.000 0.000
Pb1 0.250 0.250 0.250
Au1 0.000 0.000 0.500
Au2 0.250 0.250 0.750
# total magnetization = 0.00 μB/f.u.
# formation energy = 108 meV per atom